VASP calculation (GGA-PBE) on a relaxed Sm5DyBi5 crystal.

```
Sm5DyBi5
1.0
6.374 0.000 0.000
-3.187 7.094 -0.090
0.000 -2.759 8.550
Sm Dy Bi
5 1 5
Direct
0.668 0.336 0.335
0.663 0.326 0.828
0.000 0.000 0.500
0.337 0.674 0.172
0.332 0.664 0.665
0.000 0.000 0.000
0.832 0.665 0.165
0.835 0.670 0.668
0.500 0.000 0.000
0.165 0.330 0.332
0.168 0.335 0.835
```

Values from the calculation:
Energy relative to the elements in eV/atom: -0.726
Spin magnetization in μB per atom: 0.000